(1)
{
  "formula": "Ta2BeAlIn",
  "functional": "PBE-GGA",
  "state": "relaxed",
  "dos_at_fermi_per_ev_cell": 6.15,
  "ef_ev_per_atom": 1.10,
  "lattice": [[4.821, 0.000, 0.000], [0.000, 4.182, 0.000], [0.000, 0.000, 4.821]],
  "species": ["Ta", "Ta", "In", "Be", "Al"],
  "frac_coords": [[0.500, 0.000, 0.000], [0.000, 0.000, 0.500], [0.500, 0.500, 0.500], [0.000, 0.500, 0.000], [0.000, 0.000, 0.000]]
}

(2)
{
  "formula": "HfScSe4",
  "functional": "PBE-GGA",
  "state": "relaxed",
  "dos_at_fermi_per_ev_cell": 4.69,
  "e_form_raw_ev_per_atom": -1.19,
  "lattice": [[-3.570, 1.300, -0.722], [-2.398, -5.718, 1.566], [-0.508, 1.970, 6.062]],
  "species": ["Se", "Se", "Se", "Se", "Sc", "Hf"],
  "frac_coords": [[0.000, 0.204, 0.204], [0.500, 0.300, 0.700], [0.500, 0.700, 0.300], [0.000, 0.796, 0.796], [0.500, 0.000, 0.000], [0.000, 0.500, 0.500]]
}

(3)
{
  "formula": "CrPbI2",
  "functional": "PBE-GGA",
  "state": "relaxed",
  "dos_at_fermi_per_ev_cell": 2.66,
  "e_above_lowest_polymorph_mev_per_atom": 134,
  "e_form_raw_ev_per_atom": 0.28,
  "lattice": [[4.225, -2.725, 2.457], [-0.695, -5.284, 1.707], [2.580, -4.172, -2.692]],
  "species": ["Cr", "I", "I", "Pb"],
  "frac_coords": [[0.000, 0.000, 0.000], [0.250, 0.250, 0.250], [0.750, 0.750, 0.750], [0.500, 0.500, 0.500]]
}

(4)
{
  "formula": "LaHg2",
  "functional": "PBE-GGA",
  "state": "relaxed",
  "dos_at_fermi_per_ev_cell": 5.43,
  "ef_ev_per_atom": -0.41,
  "lattice": [[4.634, 0.000, 0.000], [-2.317, 6.487, 0.132], [0.000, 3.169, 5.707]],
  "species": ["Hg", "Hg", "Hg", "Hg", "La", "La"],
  "frac_coords": [[0.028, 0.055, 0.443], [0.661, 0.322, 0.561], [0.395, 0.789, 0.828], [0.028, 0.056, 0.946], [0.356, 0.712, 0.366], [0.700, 0.399, 0.023]]
}

(5)
{
  "formula": "SrSbH2",
  "functional": "PBE-GGA",
  "state": "relaxed",
  "dos_at_fermi_per_ev_cell": 4.17,
  "e_above_lowest_polymorph_mev_per_atom": 0,
  "lattice": [[-3.862, -1.413, -2.343], [2.593, -3.182, -2.355], [-1.906, -6.972, 2.566]],
  "species": ["H", "H", "H", "H", "Sr", "Sr", "Sb", "Sb"],
  "frac_coords": [[0.875, 0.945, 0.750], [0.375, 0.305, 0.750], [0.055, 0.625, 0.250], [0.695, 0.125, 0.250], [0.250, 0.750, 0.500], [0.500, 0.500, 0.000], [0.750, 0.250, 0.500], [0.000, 0.000, 0.000]]
}

(6)
{
  "formula": "Tm2HfAu6",
  "functional": "PBE-GGA",
  "state": "relaxed",
  "dos_at_fermi_per_ev_cell": 11.05,
  "ef_ev_per_atom": -0.66,
  "lattice": [[0.585, 2.273, 4.563], [5.881, -5.375, 3.389], [7.496, 4.058, -1.516]],
  "species": ["Au", "Au", "Au", "Au", "Au", "Au", "Au", "Au", "Au", "Au", "Au", "Au", "Tm", "Tm", "Tm", "Tm", "Hf", "Hf"],
  "frac_coords": [[0.142, 0.344, 0.090], [0.022, 0.576, 0.308], [0.307, 0.774, 0.012], [0.522, 0.308, 0.576], [0.693, 0.226, 0.988], [0.358, 0.910, 0.656], [0.478, 0.692, 0.424], [0.858, 0.656, 0.910], [0.978, 0.424, 0.692], [0.193, 0.988, 0.226], [0.807, 0.012, 0.774], [0.642, 0.090, 0.344], [0.082, 0.210, 0.457], [0.582, 0.457, 0.210], [0.918, 0.790, 0.543], [0.418, 0.543, 0.790], [0.750, 0.876, 0.124], [0.250, 0.124, 0.876]]
}

(7)
{
  "formula": "TbBiPd5",
  "functional": "PBE-GGA",
  "state": "relaxed",
  "dos_at_fermi_per_ev_cell": 4.39,
  "ef_ev_per_atom": -0.23,
  "lattice": [[-3.964, -6.322, -0.574], [4.614, -2.846, -0.518], [-0.180, 4.169, 4.112]],
  "species": ["Pd", "Pd", "Pd", "Pd", "Pd", "Tb", "Bi"],
  "frac_coords": [[0.873, 0.500, 0.000], [0.541, 0.243, 0.000], [0.039, 0.816, 0.632], [0.407, 0.184, 0.368], [0.541, 0.757, 0.000], [0.227, 0.500, 0.000], [0.903, 0.000, 0.000]]
}

(8)
{
  "formula": "CeHfTcAu",
  "functional": "PBE-GGA",
  "state": "relaxed",
  "dos_at_fermi_per_ev_cell": 7.75,
  "ef_ev_per_atom": -0.23,
  "lattice": [[4.879, 0.000, 0.000], [2.440, 4.226, 0.000], [2.440, 1.409, 3.984]],
  "species": ["Au", "Hf", "Ce", "Tc"],
  "frac_coords": [[0.750, 0.750, 0.750], [0.000, 0.000, 0.000], [0.500, 0.500, 0.500], [0.250, 0.250, 0.250]]
}

(9)
{
  "formula": "Dy2PdS",
  "functional": "PBE-GGA",
  "state": "relaxed",
  "dos_at_fermi_per_ev_cell": 2.19,
  "e_above_lowest_polymorph_mev_per_atom": 180,
  "e_form_raw_ev_per_atom": -1.26,
  "lattice": [[-2.420, -2.650, 1.426], [0.368, -3.704, -1.029], [3.798, -3.218, 5.695]],
  "species": ["Dy", "Dy", "Pd", "S"],
  "frac_coords": [[0.253, 0.253, 0.240], [0.080, 0.080, 0.759], [0.667, 0.667, 0.998], [0.499, 0.499, 0.503]]
}

(10)
{
  "formula": "Ho4InAgRh2",
  "functional": "PBE-GGA",
  "state": "relaxed",
  "dos_at_fermi_per_ev_cell": 5.01,
  "ef_ev_per_atom": -0.59,
  "lattice": [[5.007, 0.000, 0.000], [2.504, 4.336, 0.000], [2.504, 1.445, 8.204]],
  "species": ["In", "Ho", "Ho", "Ho", "Ho", "Rh", "Rh", "Ag"],
  "frac_coords": [[0.000, 0.000, 0.000], [0.128, 0.128, 0.617], [0.622, 0.622, 0.135], [0.378, 0.378, 0.865], [0.872, 0.872, 0.383], [0.748, 0.748, 0.756], [0.252, 0.252, 0.244], [0.500, 0.500, 0.500]]
}

(11)
{
  "formula": "BaSbPb2",
  "functional": "PBE-GGA",
  "state": "relaxed",
  "dos_at_fermi_per_ev_cell": 2.14,
  "e_form_raw_ev_per_atom": -0.37,
  "lattice": [[6.220, -0.049, 0.000], [1.976, 5.898, 0.000], [-4.098, -2.925, 3.653]],
  "species": ["Pb", "Pb", "Sb", "Ba"],
  "frac_coords": [[0.000, 0.000, 0.000], [0.250, 0.750, 0.500], [0.500, 0.500, 0.000], [0.750, 0.250, 0.500]]
}

(12)
{
  "formula": "Pu3ThS4",
  "functional": "PBE-GGA",
  "state": "relaxed",
  "dos_at_fermi_per_ev_cell": 25.57,
  "e_above_lowest_polymorph_mev_per_atom": 15,
  "e_form_raw_ev_per_atom": -1.77,
  "lattice": [[-0.330, 5.140, -2.318], [-5.614, -0.514, -0.339], [-0.520, 2.285, 5.139]],
  "species": ["S", "S", "S", "S", "Pu", "Pu", "Pu", "Th"],
  "frac_coords": [[0.500, 0.000, 0.000], [0.000, 0.500, 0.000], [0.000, 0.000, 0.500], [0.500, 0.500, 0.500], [0.500, 0.000, 0.500], [0.500, 0.500, 0.000], [0.000, 0.500, 0.500], [0.000, 0.000, 0.000]]
}